# 1
VASP calculation (SCAN) on a crystal of Ba5Tl relaxed with PBEsol.

Values from the calculation:
DOS(E_F): 0.92 states/eV per atom
Relative energy among the computed polymorphs: 68 meV per atom
Space-group type: Amm2
VASP energy: -270.9 eV/f.u.

abc: 4.6483 6.3610 10.1299
angles: 90.00 103.26 90.00
With the nearest neighbours (Å) after each atom.
Element x y z (fractional)
Ba 0.3093 0.0000 0.6185  8 Ba 3.93-4.08
Ba 0.7788 0.5000 0.5577  2 Tl 3.62, 4 Ba 3.98
Ba 0.6392 0.0000 0.2783  4 Tl 3.94, 8 Ba 4.07-4.23
Ba 0.4979 0.5000 0.9958  2 Tl 3.61, 4 Ba 3.98
Ba 0.9699 0.0000 0.9398  8 Ba 3.93-4.07
Tl 0.1383 0.5000 0.2765  8 Ba 3.61-3.94

=====

# 2
VASP calculation (SCAN) on a crystal of Ba2Tl relaxed with PBEsol.

Values from the calculation:
DOS(E_F): 0.68 states/eV per atom
Space-group type: I4_1/amd
VASP energy: -152.7 eV/f.u.

abc: 4.2022 4.2022 16.0167
angles: 97.54 97.54 90.00
With the nearest neighbours (Å) after each atom.
Element x y z (fractional)
Tl 0.2500 0.7500 0.5000  8 Ba 3.56
Tl 0.0000 0.0000 0.0000  8 Ba 3.56
Ba 0.8124 0.3124 0.6248  4 Tl 3.56, 1 Ba 3.93
Ba 0.6876 0.1876 0.3752  4 Tl 3.56, 1 Ba 3.93
Ba 0.5624 0.5624 0.1248  4 Tl 3.56, 1 Ba 3.93
Ba 0.4376 0.4376 0.8752  4 Tl 3.56, 1 Ba 3.93

=====

# 3
VASP calculation (SCAN) on a crystal of Ba3Tl relaxed with PBEsol.

Values from the calculation:
DOS(E_F): 0.73 states/eV per atom
Space-group type: I4/mmm
VASP energy: -191.9 eV/f.u.

abc: 5.5621 5.5621 6.6209
angles: 114.84 114.84 90.00
With the nearest neighbours (Å) after each atom.
Element x y z (fractional)
Tl 0.0000 0.0000 0.0000  12 Ba 3.85-3.93
Ba 0.2500 0.7500 0.5000  8 Ba 3.85-3.93, 4 Tl 3.85
Ba 0.7500 0.2500 0.5000  8 Ba 3.85-3.93, 4 Tl 3.85
Ba 0.5000 0.5000 0.0000  8 Ba 3.85, 4 Tl 3.93

=====

# 4
VASP calculation (SCAN) on a crystal of Ba3Tl2 relaxed with PBEsol.

Values from the calculation:
DOS(E_F): 1.13 states/eV per atom
Relative energy among the computed polymorphs: 184 meV per atom
Space-group type: R-3m
VASP energy: -264.8 eV/f.u.

abc: 4.2620 4.2620 14.3537
angles: 81.46 81.46 60.00
With the nearest neighbours (Å) after each atom.
Element x y z (fractional)
Tl 0.3949 0.3949 0.8152  6 Ba 3.51-3.59
Tl 0.6051 0.6051 0.1848  6 Ba 3.51-3.59
Ba 0.2126 0.2126 0.3622  3 Tl 3.51
Ba 0.7874 0.7874 0.6378  3 Tl 3.51
Ba 0.0000 0.0000 0.0000  6 Tl 3.59